Computed, not measured: an optimized crystal structure of Mg3Rh at the PBE-GGA level of DFT.

Properties
SG: No. 187
DFT formation energy (kJ/mol of atoms): -15.10

Structure (POSCAR):
```
Mg3Rh
1.0
-1.0340 -0.5066 -2.8482
0.1876 -2.3227 2.0018
-8.6614 1.7432 2.8343
Mg Rh
3 1
direct
0.0000 0.0000 0.9649
0.0000 0.0000 0.5351
0.6667 0.3333 0.2500
0.6667 0.3333 0.7500
```